1.
NbFeNiB PBE-GGA optimized geometry; M_tot = 2.1 μB per formula unit; DFT total energy = -7.491 eV/atom; SG = F-43m, No. 216; relative energy among the computed polymorphs = 43 meV/atom
1.0
-0.861 -3.827 -1.026
-3.127 -1.910 1.736
-3.330 -0.818 -2.164
B Nb Fe Ni
1 1 1 1
Direct
0.000 0.000 0.000
0.250 0.250 0.250
0.500 0.500 0.500
0.750 0.750 0.750

***

2.
Li8Sm7Ge10 PBE-GGA optimized geometry; M_tot = 0.0 μB per formula unit; DFT total energy = -4.472 eV/atom; SG = Cmmm, No. 65
1.0
3.419 -16.580 0.000
3.419 16.580 0.000
0.000 0.000 4.381
Ge Sm Li
10 7 8
Direct
0.969 0.399 0.000
0.601 0.031 0.000
0.627 0.373 0.500
0.373 0.627 0.500
0.906 0.094 0.000
0.399 0.969 0.000
0.094 0.906 0.000
0.031 0.601 0.000
0.687 0.687 0.500
0.313 0.313 0.500
0.279 0.721 0.500
0.161 0.839 0.500
0.443 0.557 0.000
0.000 0.000 0.000
0.839 0.161 0.500
0.557 0.443 0.000
0.721 0.279 0.500
0.455 0.169 0.000
0.116 0.266 0.500
0.545 0.831 0.000
0.266 0.116 0.500
0.734 0.884 0.500
0.884 0.734 0.500
0.169 0.455 0.000
0.831 0.545 0.000

***

3.
SrDy PBE-GGA optimized geometry; M_tot = 0.6 μB per formula unit; DFT total energy = -2.894 eV/atom; SG = P-6m2, No. 187; relative energy among the computed polymorphs = 0 meV/atom
1.0
3.794 0.000 0.000
-1.897 3.286 0.000
0.000 0.000 6.328
Sr Dy
1 1
Direct
0.333 0.667 0.250
0.667 0.333 0.750

***

4.
HoFeCoB2 PBE-GGA optimized geometry; M_tot = 0.0 μB per formula unit; DFT total energy = -7.192 eV/atom; SG = I-4m2, No. 119
1.0
-1.800 1.800 4.578
1.800 -1.800 4.578
1.800 1.800 -4.578
B Ho Fe Co
2 1 1 1
Direct
0.592 0.092 0.500
0.908 0.408 0.500
0.250 0.750 0.500
0.500 0.500 0.000
0.000 0.000 0.000

***

5.
Fe2Sn2As3P PBE-GGA optimized geometry; M_tot = 3.9 μB per formula unit; DFT total energy = -5.421 eV/atom; SG = C2, No. 5
1.0
-4.088 -5.003 2.778
-0.055 -6.997 -0.702
3.984 1.850 3.557
As Sn Fe P
3 2 2 1
Direct
0.375 0.124 0.319
0.688 0.312 0.000
0.876 0.625 0.681
0.489 0.757 0.867
0.243 0.511 0.133
0.002 0.238 0.381
0.762 0.998 0.619
0.064 0.936 0.500

***

6.
GdMgZn PBE-GGA optimized geometry; M_tot = 0.0 μB per formula unit; DFT total energy = -2.655 eV/atom; SG = P1, No. 1
1.0
5.777 0.609 -0.063
3.411 5.835 0.046
-0.028 0.101 8.717
Gd Mg Zn
4 4 4
Direct
0.481 0.594 0.621
0.875 0.922 0.803
0.320 0.182 0.269
0.437 0.631 0.236
0.218 0.215 0.651
0.367 0.398 0.944
0.862 0.411 0.932
0.892 0.704 0.451
0.378 0.914 0.939
0.875 0.099 0.139
0.908 0.110 0.451
0.870 0.719 0.126

***

7.
RbHoCdSe3 PBE-GGA optimized geometry; M_tot = 0.0 μB per formula unit; DFT total energy = -4.081 eV/atom; SG = C2/m, No. 12
1.0
8.993 -2.116 0.000
8.993 2.116 0.000
-2.084 0.000 9.165
Se Ho Cd Rb
6 2 2 2
Direct
0.664 0.664 0.777
0.667 0.667 0.370
0.333 0.333 0.630
0.500 0.500 0.000
0.000 0.000 0.500
0.336 0.336 0.223
0.171 0.171 0.580
0.829 0.829 0.420
0.493 0.493 0.281
0.507 0.507 0.719
0.854 0.854 0.935
0.146 0.146 0.065

***

8.
TlCdGe PBE-GGA optimized geometry; DFT total energy = -2.426 eV/atom; SG = F-43m, No. 216; relative energy among the computed polymorphs = 0 meV/atom
1.0
-3.355 -2.683 2.272
-1.582 1.307 4.405
-4.515 1.711 0.551
Cd Ge Tl
1 1 1
Direct
0.250 0.250 0.250
0.000 0.000 0.000
0.750 0.750 0.750